DFT (PBE-GGA) results for a relaxed structure of ReSnIr2.

a = 4.5012 Å, b = 4.5012 Å, c = 4.5012 Å
α = 60.00°, β = 60.00°, γ = 60.00°
Atoms (fractional coordinates):
Ir  0.0000  0.0000  0.0000
Ir  0.7500  0.7500  0.7500
Re  0.2500  0.2500  0.2500
Sn  0.5000  0.5000  0.5000

Properties
Total energy in eV per atom: -8.14
Crystal system: cubic